Entry 1:
This record from Alexandria via LeMat-Bulk describes crystalline Ac2Ho3Cd4 at its relaxed geometry. The functional is GGA-PBE.

As for the mass density: 8.36 g/cm³. Its magnetization is 0.0 μB per cell. Its density of states at the Fermi level is 0.90 states/eV per atom. The value obtained for the electronic total energy is -3.02 eV per atom. Its formation enthalpy at 0 K is -0.174 eV/atom.

CIF file:
```
data_Ac2Ho3Cd4
_space_group_name_H-M_alt 'P 1'
_space_group_IT_number 1
_cell_length_a 9.9734
_cell_length_b 9.9734
_cell_length_c 8.5069
_cell_angle_alpha 90.00
_cell_angle_beta 90.00
_cell_angle_gamma 138.96
loop_
_space_group_symop_operation_xyz
'x,y,z'
loop_
_atom_site_label
_atom_site_fract_x
_atom_site_fract_y
_atom_site_fract_z
_atom_site_occupancy
Ac1 0.0955 0.9045 0.9000 1
Ac2 0.4045 0.5955 0.4000 1
Ac3 0.5955 0.4045 0.6000 1
Ac4 0.9045 0.0955 0.1000 1
Ho1 0.0000 0.0000 0.5000 1
Ho2 0.0076 0.4924 0.7500 1
Ho3 0.4924 0.0076 0.2500 1
Ho4 0.5000 0.5000 0.0000 1
Ho5 0.5077 0.9924 0.7500 1
Ho6 0.9924 0.5077 0.2500 1
Cd1 0.1664 0.8336 0.5118 1
Cd2 0.1770 0.3230 0.7500 1
Cd3 0.3230 0.1770 0.2500 1
Cd4 0.3336 0.6664 0.0118 1
Cd5 0.6664 0.3336 0.9882 1
Cd6 0.6770 0.8230 0.7500 1
Cd7 0.8230 0.6770 0.2500 1
Cd8 0.8336 0.1664 0.4882 1
```

***

Entry 2:
This record from Alexandria via LeMat-Bulk describes crystalline InNiHAu2 at its relaxed geometry. The functional is GGA-PBE.

As for the mass density: 13.05 g/cm³. Its magnetization is 0.0 μB per cell. Its density of states at the Fermi level is 0.42 states/eV per atom. The value obtained for the electronic total energy is -3.61 eV per atom.

CIF file:
```
data_InNiHAu2
_space_group_name_H-M_alt 'P 1'
_space_group_IT_number 1
_cell_length_a 4.6774
_cell_length_b 4.6774
_cell_length_c 3.3056
_cell_angle_alpha 90.00
_cell_angle_beta 90.00
_cell_angle_gamma 90.00
loop_
_space_group_symop_operation_xyz
'x,y,z'
loop_
_atom_site_label
_atom_site_fract_x
_atom_site_fract_y
_atom_site_fract_z
_atom_site_occupancy
In1 0.0000 0.0000 0.0000 1
Ni1 0.5000 0.5000 0.0000 1
H1 0.5000 0.5000 0.5000 1
Au1 0.0000 0.5000 0.5000 1
Au2 0.5000 0.0000 0.5000 1
```

***

Entry 3:
This record from Alexandria via LeMat-Bulk describes crystalline Hf3BeRe at its relaxed geometry. The functional is GGA-PBE.

As for the mass density: 9.69 g/cm³. Its magnetization is 0.0 μB per cell. Its density of states at the Fermi level is 1.68 states/eV per atom. The value obtained for the electronic total energy is -8.20 eV per atom. Its formation enthalpy at 0 K is 1.012 eV/atom.

CIF file:
```
data_Hf3BeRe
_space_group_name_H-M_alt 'P 1'
_space_group_IT_number 1
_cell_length_a 5.0036
_cell_length_b 5.0036
_cell_length_c 5.0036
_cell_angle_alpha 90.00
_cell_angle_beta 90.00
_cell_angle_gamma 90.00
loop_
_space_group_symop_operation_xyz
'x,y,z'
loop_
_atom_site_label
_atom_site_fract_x
_atom_site_fract_y
_atom_site_fract_z
_atom_site_occupancy
Hf1 0.0000 0.0000 0.5000 1
Hf2 0.0000 0.5000 0.0000 1
Hf3 0.5000 0.0000 0.0000 1
Be1 0.5000 0.5000 0.5000 1
Re1 0.0000 0.0000 0.0000 1
```

***

What is the formula in the third record?
Hf3BeRe